DFT (PBE) results for an optimized crystal structure of Y6P5Se.

```
data_Y6P5Se
_chemical_formula_sum 'Y12 P10 Se2'
_cell_length_a 6.9752
_cell_length_b 12.0700
_cell_length_c 6.9755
_cell_angle_alpha 90.00
_cell_angle_beta 109.47
_cell_angle_gamma 90.00
_space_group_name_H-M_alt 'C 1 2/m 1'
_space_group_IT_number 12
loop_
_space_group_symop_operation_xyz
'x,y,z'
'-x,-y,-z'
'-x,y,-z'
'x,-y,z'
'x+1/2,y+1/2,z'
'-x+1/2,-y+1/2,-z'
'-x+1/2,y+1/2,-z'
'x+1/2,-y+1/2,z'
loop_
_atom_site_label
_atom_site_fract_x
_atom_site_fract_y
_atom_site_fract_z
Y1 0.2424 0.0000 0.2553
Y2 0.2434 0.1714 0.7448
P1 0.0000 0.0000 0.5000
P2 0.0000 0.1671 0.0000
P3 0.0000 0.3359 0.5000
Se1 0.0000 0.5000 0.0000
```

Formation energy from raw total energies   -1.7119 eV/atom
Final energy   -179.7 eV for the cell shown

---

DFT (PBE) results for an optimized crystal structure of YP2Se.

```
data_YP2Se
_chemical_formula_sum 'Y1 P2 Se1'
_cell_length_a 4.0070
_cell_length_b 4.0070
_cell_length_c 5.4916
_cell_angle_alpha 90.00
_cell_angle_beta 90.00
_cell_angle_gamma 90.00
_space_group_name_H-M_alt 'P 4/m m m'
_space_group_IT_number 123
_space_group_name_Hall '-P 4 2'
loop_
_atom_site_label
_atom_site_fract_x
_atom_site_fract_y
_atom_site_fract_z
Y1 0.0000 0.0000 0.0000
P1 0.5000 0.5000 0.1941
Se1 0.0000 0.0000 0.5000
```

Formation energy from raw total energies   -0.5254 eV/atom
Final energy   -22.9 eV for the cell shown